Entry 1:
A plane-wave DFT calculation with PBE was carried out for Ta3AsN after structural relaxation.

Summary:
Raw total energy = -9.953 eV/atom
Formation energy from raw total energies = -119 kJ/mol of formula units
Symmetry = Pm-3m
Polymorph energy (0 for the lowest one) = 0 meV per atom

Unit cell a=4.233 b=4.233 c=4.233 alpha=90.00 beta=90.00 gamma=90.00
Atoms (fractional coordinates):
Ta: 0.000 0.000 0.500
Ta: 0.000 0.500 0.000
Ta: 0.500 0.000 0.000
As: 0.500 0.500 0.500
N: 0.000 0.000 0.000


Entry 2:
A plane-wave DFT calculation with PBE was carried out for CaAg2Te after structural relaxation.

Summary:
Raw total energy = -3.170 eV/atom
Formation energy from raw total energies = -177 kJ/mol of formula units
Symmetry = P4/mmm

Unit cell a=4.305 b=4.305 c=5.173 alpha=90.00 beta=90.00 gamma=90.00
Atoms (fractional coordinates):
Ca: 0.000 0.000 0.000
Ag: 0.000 0.500 0.500
Ag: 0.500 0.000 0.500
Te: 0.500 0.500 0.000


Entry 3:
A plane-wave DFT calculation with PBE was carried out for IBrO3 after structural relaxation.

Summary:
Raw total energy = -3.162 eV/atom
Formation energy from raw total energies = 221 kJ/mol of formula units
Symmetry = Pm-3m

Unit cell a=4.152 b=4.152 c=4.152 alpha=90.00 beta=90.00 gamma=90.00
Atoms (fractional coordinates):
I: 0.000 0.000 0.000
Br: 0.500 0.500 0.500
O: 0.000 0.000 0.500
O: 0.000 0.500 0.000
O: 0.500 0.000 0.000


Entry 4:
A plane-wave DFT calculation with PBE was carried out for Y2BrCl after structural relaxation.

Summary:
Raw total energy = -4.923 eV/atom
Formation energy from raw total energies = -313 kJ/mol of formula units
Symmetry = Fm-3m
Polymorph energy (0 for the lowest one) = 475 meV per atom

Unit cell a=7.125 b=7.125 c=7.125 alpha=90.00 beta=90.00 gamma=90.00
Atoms (fractional coordinates):
Y: 0.250 0.250 0.250
Y: 0.250 0.250 0.750
Y: 0.250 0.750 0.250
Y: 0.250 0.750 0.750
Y: 0.750 0.250 0.250
Y: 0.750 0.250 0.750
Y: 0.750 0.750 0.250
Y: 0.750 0.750 0.750
Br: 0.000 0.000 0.000
Br: 0.000 0.500 0.500
Br: 0.500 0.000 0.500
Br: 0.500 0.500 0.000
Cl: 0.000 0.000 0.500
Cl: 0.000 0.500 0.000
Cl: 0.500 0.000 0.000
Cl: 0.500 0.500 0.500


- What is the formula in the fourth record?
  Y2BrCl